# 1
DFT (GGA-PBE) results for a geometry-optimized Ba2SrTcS structure.

a = 6.263 Å, b = 6.263 Å, c = 4.506 Å
α = 90.00°, β = 90.00°, γ = 90.00°
Space group P4/mmm (No. 123)
Inequivalent atoms, fractional coordinates:
1 Ba 0.000 0.500 0.000 x2
2 Sr 0.000 0.000 0.500 x1
3 Tc 0.500 0.500 0.500 x1
4 S 0.500 0.500 0.000 x1

Properties
- energy relative to the elements, uncorrected (eV/atom) = -0.158

=====

# 2
DFT (GGA-PBE) results for a geometry-optimized La2MgScIr structure.

a = 5.639 Å, b = 5.639 Å, c = 5.135 Å
α = 90.00°, β = 90.00°, γ = 90.00°
Space group P4/mmm (No. 123)
Inequivalent atoms, fractional coordinates:
1 La 0.000 0.500 0.000 x2
2 Mg 0.000 0.000 0.500 x1
3 Sc 0.500 0.500 0.500 x1
4 Ir 0.500 0.500 0.000 x1

Properties
- DFT formation energy (eV/f.u.) = -1.45

=====

# 3
DFT (GGA-PBE) results for a geometry-optimized Ag2PO4 structure.

a = 3.362 Å, b = 3.362 Å, c = 13.628 Å
α = 90.00°, β = 90.00°, γ = 90.00°
Space group I4/mmm (No. 139)
Inequivalent atoms, fractional coordinates:
1 Ag 0.000 0.000 0.168 x4
2 P 0.000 0.000 0.500 x2
3 O 0.000 0.000 0.371 x4
4 O 0.000 0.500 0.000 x4

Properties
- relative energy among the computed polymorphs (meV per atom) = 423
- energy relative to the elements, uncorrected (eV/atom) = -0.693

=====

# 4
DFT (GGA-PBE) results for a geometry-optimized CsGePCl2 structure.

a = 5.533 Å, b = 5.533 Å, c = 4.761 Å
α = 90.00°, β = 90.00°, γ = 90.00°
Space group P4/mmm (No. 123)
Inequivalent atoms, fractional coordinates:
1 Cs 0.000 0.000 0.000 x1
2 Ge 0.500 0.500 0.500 x1
3 P 0.500 0.500 0.000 x1
4 Cl 0.000 0.500 0.500 x2

Properties
- energy relative to the elements, uncorrected (eV/atom) = -0.557

=====

# 5
DFT (GGA-PBE) results for a geometry-optimized TbErPu2 structure.

a = 3.3649 Å, b = 3.3649 Å, c = 36.3204 Å
α = 90.00°, β = 90.00°, γ = 120.00°
Space group R-3m (No. 166, hexagonal axes)
Inequivalent atoms, fractional coordinates:
1 Tb 0.0000 0.0000 0.0000 x3
2 Er 0.0000 0.0000 0.5000 x3
3 Pu 0.0000 0.0000 0.4141 x6

Properties
- DFT formation energy (eV/f.u.) = 1.38
- relative energy among the computed polymorphs (meV per atom) = 175

=====

# 6
DFT (GGA-PBE) results for a geometry-optimized Ca4PrCd2 structure.

a = 5.7447 Å, b = 5.7447 Å, c = 24.3204 Å
α = 90.00°, β = 90.00°, γ = 120.00°
Space group R-3m (No. 166, hexagonal axes)
Inequivalent atoms, fractional coordinates:
1 Ca 0.0000 0.0000 0.0713 x6
2 Ca 0.0000 0.0000 0.2282 x6
3 Pr 0.0000 0.0000 0.5000 x3
4 Cd 0.0000 0.0000 0.3673 x6

Properties
- DFT formation energy (eV/f.u.) = -0.43

=====

# 7
DFT (GGA-PBE) results for a geometry-optimized MgAl2Mo structure.

a = 3.898 Å, b = 3.898 Å, c = 8.366 Å
α = 90.00°, β = 90.00°, γ = 90.00°
Space group I4/mmm (No. 139)
Inequivalent atoms, fractional coordinates:
1 Mg 0.000 0.000 0.000 x2
2 Al 0.000 0.500 0.250 x4
3 Mo 0.000 0.000 0.500 x2

Properties
- DFT formation energy (eV/f.u.) = -0.70

=====

# 8
DFT (GGA-PBE) results for a geometry-optimized Mn3As2 structure.

a = 12.846 Å, b = 3.482 Å, c = 8.692 Å
α = 90.00°, β = 131.65°, γ = 90.00°
Space group C2/m (No. 12)
Inequivalent atoms, fractional coordinates:
1 Mn 0.000 0.000 0.000 x2
2 Mn 0.000 0.500 0.500 x2
3 Mn 0.107 0.000 0.410 x4
4 Mn 0.196 0.000 0.827 x4
5 As 0.060 0.500 0.845 x4
6 As 0.250 0.000 0.320 x4

Properties
- DFT formation energy (eV/f.u.) = -0.76

=====

# 9
DFT (GGA-PBE) results for a geometry-optimized CaAc4Er structure.

a = 3.962 Å, b = 3.962 Å, c = 16.058 Å
α = 90.00°, β = 90.00°, γ = 90.00°
Space group P4/mmm (No. 123)
Inequivalent atoms, fractional coordinates:
1 Ca 0.000 0.000 0.000 x1
2 Ac 0.000 0.000 0.347 x2
3 Ac 0.500 0.500 0.177 x2
4 Er 0.500 0.500 0.500 x1

Properties
- DFT formation energy (eV/f.u.) = 0.24
- relative energy among the computed polymorphs (meV per atom) = 0

=====

# 10
DFT (GGA-PBE) results for a geometry-optimized CdBSb2Te structure.

a = 5.465 Å, b = 5.465 Å, c = 5.696 Å
α = 90.00°, β = 90.00°, γ = 90.00°
Space group P4/mmm (No. 123)
Inequivalent atoms, fractional coordinates:
1 Cd 0.000 0.000 0.000 x1
2 B 0.500 0.500 0.500 x1
3 Sb 0.000 0.500 0.000 x2
4 Te 0.000 0.000 0.500 x1

Properties
- relative energy among the computed polymorphs (meV per atom) = 914
- energy relative to the elements, uncorrected (eV/atom) = 1.578

=====

| no. | energy (eV/atom) |
| --- | --- |
| 1 | -4.162 |
| 2 | -5.619 |
| 3 | -5.114 |
| 4 | -3.472 |
| 5 | -9.118 |
| 6 | -2.149 |
| 7 | -5.153 |
| 8 | -7.514 |
| 9 | -3.792 |
| 10 | -2.218 |